# 1
CdCu2As2 | GGA-PBEsol | relaxed

Cell and atoms, written as CIF:
```
data_CdCu2As2
_space_group_name_H-M_alt 'I 4/m m m'
_space_group_IT_number 139
_space_group_name_Hall '-I 4 2'
_cell_length_a 3.8249
_cell_length_b 3.8249
_cell_length_c 11.5344
_cell_angle_alpha 90.00
_cell_angle_beta 90.00
_cell_angle_gamma 90.00
loop_
_atom_site_label
_atom_site_fract_x
_atom_site_fract_y
_atom_site_fract_z
Cd1 0.0000 0.0000 0.0000
Cu1 0.0000 0.0000 0.3971
As1 0.0000 0.5000 0.2500
```

## Properties
Fermi-level density of states: 0.332 states/eV/atom
Energy relative to the elements: 93.8 kJ/mol of formula units
Magnetization: 0.00 μB per cell
E: -3.82 eV per atom

***

# 2
YMnSCl2 | GGA-PBEsol | relaxed

Cell and atoms, written as CIF:
```
data_YMnSCl2
_space_group_name_H-M_alt 'P 4/m m m'
_space_group_IT_number 123
_space_group_name_Hall '-P 4 2'
_cell_length_a 4.5428
_cell_length_b 4.5428
_cell_length_c 4.7250
_cell_angle_alpha 90.00
_cell_angle_beta 90.00
_cell_angle_gamma 90.00
loop_
_atom_site_label
_atom_site_fract_x
_atom_site_fract_y
_atom_site_fract_z
Y1 0.0000 0.0000 0.0000
Mn1 0.5000 0.5000 0.5000
S1 0.5000 0.5000 0.0000
Cl1 0.0000 0.5000 0.5000
```

## Properties
Fermi-level density of states: 0.700 states/eV/atom
Magnetization: 3.18 μB per cell
Formation energy without anion corrections: -0.827 eV per atom
E: -5.82 eV per atom

***

# 3
TaReB2Rh | GGA-PBEsol | relaxed

Cell and atoms, written as CIF:
```
data_TaReB2Rh
_space_group_name_H-M_alt 'P 4/m m m'
_space_group_IT_number 123
_space_group_name_Hall '-P 4 2'
_cell_length_a 4.0892
_cell_length_b 4.0892
_cell_length_c 4.5845
_cell_angle_alpha 90.00
_cell_angle_beta 90.00
_cell_angle_gamma 90.00
loop_
_atom_site_label
_atom_site_fract_x
_atom_site_fract_y
_atom_site_fract_z
Ta1 0.0000 0.0000 0.0000
Re1 0.5000 0.5000 0.5000
B1 0.0000 0.5000 0.0000
Rh1 0.0000 0.0000 0.5000
```

## Properties
Fermi-level density of states: 1.116 states/eV/atom
Energy relative to the elements: 1021.5 kJ/mol of formula units
Magnetization: 0.00 μB per cell
E: -7.49 eV per atom

***

# 4
Ir3Se | GGA-PBEsol | relaxed

Cell and atoms, written as CIF:
```
data_Ir3Se
_space_group_name_H-M_alt 'C m m m'
_space_group_IT_number 65
_space_group_name_Hall '-C 2 2'
_cell_length_a 5.4900
_cell_length_b 7.6129
_cell_length_c 2.8046
_cell_angle_alpha 90.00
_cell_angle_beta 90.00
_cell_angle_gamma 90.00
loop_
_atom_site_label
_atom_site_fract_x
_atom_site_fract_y
_atom_site_fract_z
Ir1 0.0000 0.0000 0.0000
Ir2 0.2500 0.2500 0.5000
Se1 0.0000 0.5000 0.0000
```

## Properties
Fermi-level density of states: 0.551 states/eV/atom
Magnetization: 0.00 μB per cell
Formation energy without anion corrections: 0.395 eV per atom
E: -7.94 eV per atom

***

> Fermi-level density of states of number 1 (CdCu2As2)?

0.332 states/eV/atom